## TbPbW2O8 (PBE with a Hubbard U)

Data for an optimized crystal structure of TbPbW2O8.

abc: 5.475 5.475 9.242
angles: 90.00 90.00 120.00
Atoms (fractional coordinates):
Tb  0.000  0.000  0.000
Pb  0.000  0.000  0.500
W  0.333  0.667  0.224
W  0.667  0.333  0.776
O  0.040  0.343  0.153
O  0.303  0.960  0.153
O  0.333  0.667  0.420
O  0.343  0.303  0.847
O  0.657  0.697  0.153
O  0.667  0.333  0.580
O  0.697  0.040  0.847
O  0.960  0.657  0.847

Output
**SG**: P-3, No. 147
**Final energy**: -7.2024 eV per atom
**Magnetization**: 1.02 μB/f.u.